Density functional theory data (PBE) for a geometry-optimized LiCeZn2 structure.

Lattice parameters (Å, degrees): 4.8612 4.8612 4.8612 60.00 60.00 60.00
Element x y z (fractional)
Zn: 0.0000 0.0000 0.0000
Zn: 0.5000 0.5000 0.5000
Ce: 0.7500 0.7500 0.7500
Li: 0.2500 0.2500 0.2500

Output
The space-group type is No. 225. The energy comes out at -2.773 eV/atom. As for the formation energy: -16.8 kJ/mol of atoms.